# 1
Tm4MgNi: relaxed, PBE.

abc: 13.433 13.433 13.433
angles: 90.00 90.00 90.00
Space group F-43m (No. 216)
Asymmetric unit:
Tm  0.000  0.000  0.185 (multiplicity 24)
Tm  0.063  0.250  0.750 (multiplicity 24)
Tm  0.096  0.096  0.404 (multiplicity 16)
Mg  0.170  0.170  0.170 (multiplicity 16)
Ni  0.108  0.108  0.608 (multiplicity 16)

Computed properties:
* ΔH_f (0 K): -0.2188 eV per atom

# 2
Tm6Mg2Ni: relaxed, PBE.

abc: 3.606 8.571 16.489
angles: 90.00 90.00 90.00
Space group Immm (No. 71)
Asymmetric unit:
Tm  0.000  0.191  0.168 (multiplicity 8)
Tm  0.000  0.267  0.500 (multiplicity 4)
Mg  0.000  0.000  0.345 (multiplicity 4)
Ni  0.000  0.000  0.000 (multiplicity 2)

Computed properties:
* ΔH_f (0 K): 0.1189 eV per atom

# 3
TmMg3Ni2: relaxed, PBE.

abc: 14.494 3.864 10.285
angles: 90.00 124.00 90.00
Space group C2/m (No. 12)
Asymmetric unit:
Tm  0.151  0.000  0.232 (multiplicity 4)
Mg  0.081  0.500  0.928 (multiplicity 4)
Mg  0.083  0.500  0.448 (multiplicity 4)
Mg  0.150  0.000  0.739 (multiplicity 4)
Ni  0.229  0.000  0.047 (multiplicity 4)
Ni  0.231  0.000  0.552 (multiplicity 4)

Computed properties:
* ΔH_f (0 K): -0.1873 eV per atom

# 4
Tm12MgNi6: relaxed, PBE.

abc: 13.6038 13.6038 8.6245
angles: 90.00 90.00 120.00
Space group R-3 (No. 148, hexagonal axes)
Asymmetric unit:
Tm  0.0382  0.2605  0.4264 (multiplicity 18)
Tm  0.0609  0.1792  0.8319 (multiplicity 18)
Mg  0.0000  0.0000  0.5000 (multiplicity 3)
Ni  0.0754  0.5022  0.7881 (multiplicity 18)

Computed properties:
* ΔH_f (0 K): -0.2056 eV per atom